Record 1
CsV2Zn after structural relaxation, computed with PBE.

Total moment = 1.697 μB/f.u.
Mass density = 4.7 g/cm3
Calculated volume = 211.4 Å³ per cell
DOS(E_F) = 9.92 states/eV/cell
Crystal system = tetragonal
ΔH_f (0 K) = 1398 meV per atom

Cell: 4.533 4.533 10.779 Å, 77.86 77.86 90.00°
Element x y z (fractional)
Cs 0.000 0.000 0.000
Cs 0.750 0.250 0.500
Zn 0.500 0.500 0.000
Zn 0.250 0.750 0.500
V 0.399 0.125 0.250
V 0.351 0.625 0.250
V 0.375 0.601 0.750
V 0.875 0.649 0.750

Record 2
Cs2VZn after structural relaxation, computed with PBE.

Total moment = 4.956 μB/f.u.
Mass density = 3.9 g/cm3
Calculated volume = 162.8 Å³ per cell
DOS(E_F) = 7.68 states/eV/cell
Crystal system = cubic
ΔH_f (0 K) = 1005 meV per atom

Cell: 6.129 6.129 6.129 Å, 60.00 60.00 60.00°
Element x y z (fractional)
Cs 0.250 0.250 0.250
Cs 0.750 0.750 0.750
Zn 0.500 0.500 0.500
V 0.000 0.000 0.000

Record 3
Cs3VZn after structural relaxation, computed with PBE.

Total moment = 5.996 μB/f.u.
Mass density = 2.7 g/cm3
Calculated volume = 314.0 Å³ per cell
DOS(E_F) = 5.98 states/eV/cell
Crystal system = cubic
ΔH_f (0 K) = 936 meV per atom

Cell: 6.797 6.797 6.797 Å, 90.00 90.00 90.00°
Element x y z (fractional)
Cs 0.000 0.500 0.000
Cs 0.000 0.000 0.500
Cs 0.500 0.000 0.000
Zn 0.500 0.500 0.500
V 0.000 0.000 0.000

Record 4
CsZr2V after structural relaxation, computed with PBE.

Total moment = 0.000 μB/f.u.
Mass density = 3.7 g/cm3
Calculated volume = 326.6 Å³ per cell
Offset from the most stable computed form = 0.030 eV per formula unit
DOS(E_F) = 4.21 states/eV/cell
Crystal system = tetragonal
ΔH_f (0 K) = 1332 meV per atom

Cell: 7.723 7.723 7.733 Å, 60.04 60.04 90.00°
Element x y z (fractional)
Cs 0.000 0.000 0.000
Cs 0.750 0.250 0.500
Zr 0.375 0.125 0.250
Zr 0.375 0.625 0.250
Zr 0.375 0.625 0.750
Zr 0.875 0.625 0.750
V 0.500 0.500 0.000
V 0.250 0.750 0.500

Which value of calculated volume does entry 3 give? 314.0 Å³ per cell

Which value of total moment does entry 3 give? 5.996 μB/f.u.